Entry from Alexandria via LeMat-Bulk: a relaxed structure of TbPr2VO6 (PBE with a Hubbard U).

DFT total energy = -81.90 eV/f.u.
D(E_F) = 0.000 states/eV per cell

a = 5.6919 Å, b = 5.9266 Å, c = 9.9845 Å
α = 90.00°, β = 123.86°, γ = 90.00°
Last column: nearest neighbours and their distance in Å.
Fractional coordinates of all 20 atoms:
Tb1 0.0000 0.0000 0.0000  6 O 2.26-2.28
Tb2 0.0000 0.5000 0.5000  6 O 2.26-2.28
Pr1 0.2692 0.0571 0.7505  4 O 2.36-2.47
Pr2 0.2692 0.4429 0.2505  4 O 2.36-2.47
Pr3 0.7308 0.5571 0.7495  4 O 2.36-2.47
Pr4 0.7308 0.9429 0.2495  4 O 2.36-2.47
V1 0.5000 0.0000 0.5000  6 O 2.05-2.12
V2 0.5000 0.5000 0.0000  6 O 2.05-2.12
O1 0.1424 0.0477 0.2613  1 V 2.12, 1 Tb 2.28, 1 Pr 2.36
O2 0.1424 0.4523 0.7613  1 V 2.12, 1 Tb 2.28, 1 Pr 2.36
O3 0.2718 0.6895 0.0607  1 V 2.05, 1 Tb 2.26
O4 0.2718 0.8105 0.5607  1 V 2.05, 1 Tb 2.26
O5 0.3804 0.2106 0.0642  1 V 2.07, 1 Tb 2.26
O6 0.3804 0.2894 0.5642  1 V 2.07, 1 Tb 2.26
O7 0.6196 0.7106 0.4358  1 V 2.07, 1 Tb 2.26
O8 0.6196 0.7894 0.9358  1 V 2.07, 1 Tb 2.26
O9 0.7282 0.1895 0.4393  1 V 2.05, 1 Tb 2.26
O10 0.7282 0.3105 0.9393  1 V 2.05, 1 Tb 2.26
O11 0.8576 0.5477 0.2387  1 V 2.12, 1 Tb 2.28, 1 Pr 2.36
O12 0.8576 0.9523 0.7387  1 V 2.12, 1 Tb 2.28, 1 Pr 2.36